# 1
Compound: Rb2ScCuBr6
Source: Alexandria
Functional: PBE-GGA
Structure: optimized geometry

Cell and atoms, written as POSCAR:
```
Rb2ScCuBr6
1.0
-3.801 3.801 5.358
3.801 -3.801 5.358
3.801 3.801 -5.358
Rb Sc Cu Br
2 1 1 6
direct
0.250 0.750 0.500 Rb
0.750 0.250 0.500 Rb
0.000 0.000 0.000 Sc
0.500 0.500 0.000 Cu
0.249 0.249 0.497 Br
0.249 0.751 0.000 Br
0.250 0.250 0.000 Br
0.750 0.750 0.000 Br
0.751 0.249 0.000 Br
0.751 0.751 0.503 Br
```

Properties
- Distance to the lowest polymorph of the same formula: 0.202 eV/f.u.
- ΔE_f (raw): -1410 meV per atom
- Space-group type: No. 139



# 2
Compound: Ge4PdPt
Source: Alexandria
Functional: PBE-GGA
Structure: optimized geometry

Cell and atoms, written as POSCAR:
```
Ge4PdPt
1.0
5.429 0.000 0.000
0.000 5.880 0.000
0.000 0.000 6.943
Ge Pd Pt
8 2 2
direct
0.196 0.178 0.000 Ge
0.196 0.322 0.500 Ge
0.303 0.676 0.703 Ge
0.303 0.824 0.203 Ge
0.697 0.176 0.203 Ge
0.697 0.324 0.703 Ge
0.804 0.678 0.500 Ge
0.804 0.822 0.000 Ge
0.500 0.000 0.500 Pd
0.500 0.500 0.000 Pd
0.000 0.000 0.704 Pt
0.000 0.500 0.204 Pt
```

Properties
- Formation energy: -0.274 eV per atom
- Space-group type: No. 30



# 3
Compound: PAu3Se
Source: Alexandria
Functional: PBE-GGA
Structure: optimized geometry

Cell and atoms, written as POSCAR:
```
PAu3Se
1.0
4.774 0.000 0.000
0.000 4.774 0.000
0.000 0.000 4.774
P Au Se
1 3 1
direct
0.000 0.000 0.000 P
0.000 0.000 0.500 Au
0.000 0.500 0.000 Au
0.500 0.000 0.000 Au
0.500 0.500 0.500 Se
```

Properties
- Distance to the lowest polymorph of the same formula: 0.000 eV/f.u.
- ΔE_f (raw): 440 meV per atom
- Space-group type: No. 221



# 4
Compound: K2AlNi
Source: Alexandria
Functional: PBE-GGA
Structure: optimized geometry

Cell and atoms, written as POSCAR:
```
K2AlNi
1.0
3.267 0.000 0.000
0.000 3.677 0.000
-1.222 0.000 10.121
K Al Ni
2 1 1
direct
0.000 0.000 0.000 K
0.252 0.500 0.591 K
0.618 0.000 0.305 Al
0.110 0.500 0.285 Ni
```

Properties
- Formation energy: 0.161 eV per atom
- Space-group type: No. 6



no.,total moment (μB/cell)
1,0.00
2,0.00
3,0.00
4,0.00